CeTi2Tl2O7 | GGA-PBE | optimized geometry

Results
The total energy comes out at -7.581 eV per atom.

Geometry as POSCAR:
```
CeTi2Tl2O7
1.0
2.6996 -2.6916 0.0000
2.6996 2.6916 0.0000
-2.2335 0.0000 12.4573
Ce Ti Tl O
1 2 2 7
Direct
0.0000 0.0000 0.0000
0.4277 0.4277 0.8283
0.5723 0.5723 0.1717
0.1920 0.1920 0.3818
0.8080 0.8080 0.6182
0.0563 0.5554 0.1365
0.3745 0.3745 0.6832
0.4446 0.9437 0.8635
0.5000 0.5000 0.0000
0.5554 0.0563 0.1365
0.6255 0.6255 0.3168
0.9437 0.4446 0.8635
```


LiAlCr2 | GGA-PBE | optimized geometry

Results
The energy of formation from the pure elements is 0.288 eV/atom.

Geometry as POSCAR:
```
LiAlCr2
1.0
1.6046 -1.8831 0.0000
1.6046 1.8831 0.0000
0.0000 0.0000 8.6106
Li Al Cr
1 1 2
Direct
0.0000 0.0000 0.0000
0.0000 0.0000 0.5000
0.5000 0.5000 0.2646
0.5000 0.5000 0.7354
```


Hg2MoCl | GGA-PBE | optimized geometry

Results
Its relative energy among the computed polymorphs is 0.0 meV per atom.

Geometry as POSCAR:
```
Hg2MoCl
1.0
-1.4975 2.4739 6.8270
1.4975 -2.4739 6.8270
1.4975 2.4739 -6.8270
Hg Mo Cl
2 1 1
Direct
0.0000 0.0000 0.0000
0.6489 0.1489 0.5000
0.1815 0.6815 0.5000
0.3209 0.3209 0.0000
```


ScV2In | GGA-PBE | optimized geometry

Results
The energy of formation from the pure elements is 0.707 eV/atom.

Geometry as POSCAR:
```
ScV2In
1.0
-3.7089 3.7089 2.7696
3.7089 -3.7089 2.7696
3.7089 3.7089 -2.7696
Sc V In
2 4 2
Direct
0.0000 0.0000 0.0000
0.7500 0.2500 0.5000
0.1313 0.6250 0.0063
0.3750 0.3813 0.5063
0.6187 0.1250 0.9937
0.8750 0.8687 0.4937
0.2500 0.7500 0.5000
0.5000 0.5000 0.0000
```


CaFe2Ag | GGA-PBE | optimized geometry

Results
The energy of formation from the pure elements is 0.627 eV/atom.

Geometry as POSCAR:
```
CaFe2Ag
1.0
-2.2196 2.2196 9.3609
2.2196 -2.2196 9.3609
2.2196 2.2196 -9.3609
Ca Fe Ag
2 4 2
Direct
0.3750 0.6250 0.7500
0.6250 0.3750 0.2500
0.0000 0.0000 0.0000
0.0000 0.0000 0.5000
0.0000 0.5000 0.0000
0.5000 0.0000 0.5000
0.1250 0.8750 0.2500
0.8750 0.1250 0.7500
```


Mn2MoHPt | GGA-PBE | optimized geometry

Results
Its relative energy among the computed polymorphs is 0.0 meV per atom.

Geometry as POSCAR:
```
Mn2MoHPt
1.0
3.8212 0.0000 0.0000
0.0000 3.8212 0.0000
0.0000 0.0000 3.8259
Mn Mo H Pt
2 1 1 1
Direct
0.0000 0.5000 0.0000
0.5000 0.0000 0.0000
0.0000 0.0000 0.5000
0.0000 0.0000 0.0000
0.5000 0.5000 0.5000
```